[1]
## Ti10Ge3P3 (PBE)

Data for an optimized crystal structure of Ti10Ge3P3.

```
16
Lattice="7.4320 0.0000 0.0000 -3.7160 6.4363 0.0000 0.0000 0.0000 5.1345" Properties=species:S:1:pos:R:3 pbc="T T T"
Ti -0.9467 1.6398 0.0000
Ti -2.7721 4.8014 2.5672
Ti 0.9439 1.6349 2.5672
Ti 1.8934 0.0000 0.0000
Ti 0.0000 4.2909 1.2589
Ti 0.0000 4.2909 3.8756
Ti 3.7160 2.1454 1.2589
Ti 3.7160 2.1454 3.8756
Ti 2.7693 4.7965 0.0000
Ti 5.5442 0.0000 2.5672
Ge -1.4439 2.5009 2.5672
Ge 2.8878 0.0000 2.5672
Ge 2.2721 3.9354 2.5672
P -2.2855 3.9586 0.0000
P 1.4305 2.4777 0.0000
P 4.5709 0.0000 0.0000
```

Computed properties:
Formation energy from the elements   -1372 kJ/mol of formula units
Total DFT energy (no corrections)   -7.703 eV per atom
Space group   P-62m

***

[2]
## Ta2BeFe (PBE)

Data for an optimized crystal structure of Ta2BeFe.

```
4
Lattice="3.0932 0.0000 0.0000 0.0000 3.1070 0.0000 0.0000 0.0000 5.8343" Properties=species:S:1:pos:R:3 pbc="T T T"
Ta 0.0000 0.0000 1.4397
Ta 0.0000 0.0000 4.3946
Be 1.5466 1.5535 0.0000
Fe 1.5466 1.5535 2.9172
```

Computed properties:
Formation energy from the elements   -8 kJ/mol of formula units
Total DFT energy (no corrections)   -8.994 eV per atom
Space group   Pmmm

***

[3]
## Ca2DyScS4 (PBE)

Data for an optimized crystal structure of Ca2DyScS4.

```
8
Lattice="6.7150 0.0000 0.0000 0.0000 3.8858 0.0000 -2.2475 0.0000 6.4702" Properties=species:S:1:pos:R:3 pbc="T T T"
Ca 0.0000 0.0000 0.0000
Ca 3.3575 1.9429 0.0000
Dy -1.1238 1.9429 3.2351
Sc 2.2337 0.0000 3.2351
S 0.0413 0.0000 4.7915
S 1.1619 1.9429 1.7109
S 3.3055 1.9429 4.7593
S 4.4261 0.0000 1.6786
```

Computed properties:
Total DFT energy (no corrections)   -5.938 eV per atom
Raw formation energy   -2008 meV/atom
Space group   P2/m